## 1
CuH3Rh2: relaxed, PBE.

abc: 2.8768 2.8772 6.1266
angles: 103.10 103.11 91.23
Sites, in units of the cell vectors:
Cu (0.0000, 0.0000, 0.0000)
H (0.1909, 0.1328, 0.3352)
H (0.4991, 0.4986, 0.9999)
H (0.8629, 0.8037, 0.6646)
Rh (0.3406, 0.3424, 0.6835)
Rh (0.6569, 0.6589, 0.3165)

## Properties
The space-group type is No. 1.


## 2
CuH3Rh2: relaxed, PBE.

abc: 4.5948 4.5948 5.5410
angles: 90.00 90.00 60.19
Sites, in units of the cell vectors:
Cu (0.9996, 0.0004, 0.2500)
Cu (0.0004, 0.9996, 0.7500)
H (0.0039, 0.4290, 0.7500)
H (0.4290, 0.0039, 0.2500)
H (0.4344, 0.5656, 0.7500)
H (0.5656, 0.4344, 0.2500)
H (0.5710, 0.9961, 0.7500)
H (0.9961, 0.5710, 0.2500)
Rh (0.3329, 0.3329, 0.0000)
Rh (0.3329, 0.3329, 0.5000)
Rh (0.6671, 0.6671, 0.0000)
Rh (0.6671, 0.6671, 0.5000)

## Properties
The space-group type is No. 63.


Q: Which of them is the most stable? A: 1.


## 1
CuHRu2Rh: relaxed, PBE.

abc: 4.6767 4.6767 4.7137
angles: 90.00 90.00 90.00
Sites, in units of the cell vectors:
Cu (0.0000, 0.0000, 0.0000)
H (0.5000, 0.5000, 0.0000)
Ru (0.0000, 0.5000, 0.5000)
Ru (0.5000, 0.0000, 0.5000)
Rh (0.0000, 0.0000, 0.5000)

## Properties
The space-group type is No. 123.


## 2
CuHRu2Rh: relaxed, PBE.

abc: 3.8413 3.8413 3.9226
angles: 90.00 90.00 90.00
Sites, in units of the cell vectors:
Cu (0.0000, 0.0000, 0.0000)
H (0.5000, 0.5000, 0.5000)
Ru (0.0000, 0.5000, 0.5000)
Ru (0.5000, 0.0000, 0.5000)
Rh (0.5000, 0.5000, 0.0000)

## Properties
The space-group type is No. 123.


Q: Which of them is the most stable? A: 2.